(1)
Material: LiMnRh
Method: DFT, GGA-PBE
State: optimized geometry

Properties
Symmetry: Fmm2
Magnetic moment (μB/f.u.): 4.2
DFT total energy (eV/cell): -18.14
ΔE_f (eV per formula unit): 0.30
Volume (Å³/f.u.): 44.0

POSCAR file:
```
LiMnRh
1.0
0.000 2.281 6.496
1.486 0.000 6.496
1.486 2.281 0.000
Li Mn Rh
1 1 1
direct
0.000 0.000 0.000
0.681 0.681 0.319
0.337 0.337 0.663
```

=====

(2)
Material: ErScPb2
Method: DFT, GGA-PBE
State: optimized geometry

Properties
Symmetry: R3m
Magnetic moment (μB/f.u.): 0.0
DFT total energy (eV/cell): -19.39
ΔE_f (eV per formula unit): -1.08
Volume (Å³/f.u.): 119.9

POSCAR file:
```
ErScPb2
1.0
2.319 1.339 6.436
-2.319 1.339 6.436
0.000 -2.677 6.436
Er Sc Pb
1 1 2
direct
0.000 0.000 0.000
0.822 0.822 0.822
0.416 0.416 0.416
0.576 0.576 0.576
```

=====

(3)
Material: PrLuThMg
Method: DFT, GGA-PBE
State: optimized geometry

Properties
Symmetry: F-43m
Magnetic moment (μB/f.u.): 0.0
DFT total energy (eV/cell): -17.97
ΔE_f (eV per formula unit): 0.34
Volume (Å³/f.u.): 121.3

POSCAR file:
```
PrLuThMg
1.0
0.000 3.929 3.929
3.929 0.000 3.929
3.929 3.929 0.000
Pr Lu Th Mg
1 1 1 1
direct
0.000 0.000 0.000
0.250 0.250 0.250
0.500 0.500 0.500
0.750 0.750 0.750
```

=====

(4)
Material: Mg2Si3
Method: DFT, GGA-PBE
State: optimized geometry

Properties
Symmetry: P1
Magnetic moment (μB/f.u.): 0.0
DFT total energy (eV/cell): -75.90
Volume (Å³/f.u.): 93.6
Raw formation energy (eV/atom): 0.097

POSCAR file:
```
Mg2Si3
1.0
3.675 0.000 0.000
1.785 5.803 0.000
1.437 0.669 17.563
Mg Si
8 12
direct
0.000 0.000 0.000
0.002 0.646 0.449
0.174 0.720 0.856
0.339 0.908 0.560
0.343 0.211 0.133
0.721 0.216 0.453
0.841 0.101 0.282
0.864 0.381 0.752
0.019 0.822 0.160
0.037 0.511 0.598
0.145 0.506 0.253
0.190 0.736 0.702
0.238 0.491 0.002
0.378 0.943 0.389
0.478 0.115 0.860
0.573 0.999 0.725
0.587 0.558 0.337
0.604 0.716 0.077
0.647 0.243 0.610
0.833 0.373 0.906
```

=====

(5)
Material: Nd7Dy2Tm
Method: DFT, GGA-PBE
State: optimized geometry

Properties
Symmetry: Cmmm
Magnetic moment (μB/f.u.): 0.0
DFT total energy (eV/cell): -40.68
ΔE_f (eV per formula unit): 6.37
Volume (Å³/f.u.): 413.0

POSCAR file:
```
Nd7Dy2Tm
1.0
4.408 -8.371 0.000
4.408 8.371 0.000
0.000 0.000 5.597
Nd Dy Tm
7 2 1
direct
0.000 0.000 0.000
0.209 0.432 0.000
0.286 0.714 0.500
0.432 0.209 0.000
0.568 0.791 0.000
0.714 0.286 0.500
0.791 0.568 0.000
0.206 0.794 0.000
0.794 0.206 0.000
0.500 0.500 0.500
```

=====

(6)
Material: LaPm2PrSb4
Method: DFT, GGA-PBE
State: optimized geometry

Properties
Symmetry: Imma
Magnetic moment (μB/f.u.): 0.0
DFT total energy (eV/cell): -90.76
Volume (Å³/f.u.): 265.3
Raw formation energy (eV/atom): -1.210

POSCAR file:
```
LaPm2PrSb4
1.0
-4.543 4.544 6.425
4.543 -4.544 6.425
4.543 4.544 -6.425
La Pm Pr Sb
2 4 2 8
direct
0.000 0.000 0.000
0.500 0.000 0.500
0.000 0.500 0.500
0.500 0.000 0.000
0.500 0.500 0.000
0.500 0.500 0.500
0.000 0.000 0.500
0.000 0.500 0.000
0.251 0.256 0.504
0.251 0.747 0.996
0.251 0.748 0.503
0.255 0.252 0.003
0.745 0.748 0.997
0.749 0.252 0.497
0.749 0.253 0.004
0.749 0.744 0.496
```